# 1
Here is a relaxed LiCeHoTm crystal from Alexandria via LeMat-Bulk. Energies are from PBE.

Unit cell a=5.438 b=5.438 c=5.438 alpha=60.00 beta=60.00 gamma=60.00
Site moments in Bohr magnetons follow the coordinates.
Atoms (fractional coordinates):
Tm (0.250, 0.250, 0.250)  0.18
Ho (0.500, 0.500, 0.500)  0.11
Ce (0.000, 0.000, 0.000)  0.82
Li (0.750, 0.750, 0.750)  0.00

=====

# 2
Here is a relaxed CeHoLu crystal from Alexandria via LeMat-Bulk. Energies are from PBE.

Unit cell a=3.478 b=3.478 c=8.528 alpha=90.00 beta=90.00 gamma=120.00
Site moments in Bohr magnetons follow the coordinates.
Atoms (fractional coordinates):
Lu (0.333, 0.667, 0.665)  0.00
Ho (0.000, 0.000, 0.001)  0.01
Ce (0.667, 0.333, 0.335)  -0.56

Properties
For the relative energy among the computed polymorphs, the calculation gives 0.000 eV/atom.

=====

# 3
Here is a relaxed Ce2HoLu crystal from Alexandria via LeMat-Bulk. Energies are from PBE.

Unit cell a=4.970 b=4.890 c=4.890 alpha=90.00 beta=90.00 gamma=90.00
Site moments in Bohr magnetons follow the coordinates.
Atoms (fractional coordinates):
Lu (0.500, 0.000, 0.000)  -0.03
Ho (0.500, 0.500, 0.500)  -0.04
Ce (0.000, 0.000, 0.500)  -0.60
Ce (0.000, 0.500, 0.000)  -0.60

Properties
For the relative energy among the computed polymorphs, the calculation gives 0.000 eV/atom.

=====

# 4
Here is a relaxed CeHoLu2 crystal from Alexandria via LeMat-Bulk. Energies are from PBE.

Unit cell a=5.566 b=5.566 c=5.566 alpha=60.00 beta=60.00 gamma=60.00
Site moments in Bohr magnetons follow the coordinates.
Atoms (fractional coordinates):
Lu (0.250, 0.250, 0.250)  0.01
Lu (0.750, 0.750, 0.750)  0.01
Ho (0.000, 0.000, 0.000)  0.01
Ce (0.500, 0.500, 0.500)  0.47

Properties
For the relative energy among the computed polymorphs, the calculation gives 0.058 eV/atom.

=====

# 5
Here is a relaxed CeHoLu crystal from Alexandria via LeMat-Bulk. Energies are from PBE.

Unit cell a=3.487 b=3.487 c=7.804 alpha=102.91 beta=102.91 gamma=90.00
Site moments in Bohr magnetons follow the coordinates.
Atoms (fractional coordinates):
Lu (0.619, 0.619, 0.238)  0.01
Ho (0.949, 0.949, 0.897)  0.01
Ce (0.282, 0.282, 0.565)  0.61

Properties
For the relative energy among the computed polymorphs, the calculation gives 0.014 eV/atom.

=====

# 6
Here is a relaxed Ce2HoLu crystal from Alexandria via LeMat-Bulk. Energies are from PBE.

Unit cell a=3.457 b=3.457 c=9.958 alpha=90.00 beta=90.00 gamma=90.00
Site moments in Bohr magnetons follow the coordinates.
Atoms (fractional coordinates):
Lu (0.500, 0.500, 0.000)  0.04
Ho (0.500, 0.500, 0.500)  0.03
Ce (0.000, 0.000, 0.752)  0.58
Ce (0.000, 0.000, 0.248)  0.58

Properties
For the relative energy among the computed polymorphs, the calculation gives 0.001 eV/atom.

=====

For each record above, in turn, the calculated ΔE_f values are 233 61 101 124 74 102 meV/atom.